# 1
Below is an optimized crystal structure of ScVCo2, with properties calculated at the PBE level.

Calculated volume   54.2 Å³ per cell
Mass density   6.6 g/cm3
Calculated total energy   -30.2 eV per cell
DFT formation energy   -136 meV per atom
Symmetry   P4/mmm (123)

The structure in POSCAR format:
```
ScVCo2
1.0
4.290 0.000 0.000
0.000 4.290 0.000
0.000 0.000 2.944
Sc V Co
1 1 2
Direct
0.000 0.000 0.000
0.500 0.500 0.000
0.000 0.500 0.500
0.500 0.000 0.500
```



# 2
Below is an optimized crystal structure of ScV2Co, with properties calculated at the PBE level.

Calculated volume   125.5 Å³ per cell
Mass density   5.4 g/cm3
Calculated total energy   -60.9 eV per cell
DFT formation energy   305 meV per atom
Energy relative to the lowest polymorph listed for this composition   0.0427 eV per atom
Symmetry   I-42d (122)

The structure in POSCAR format:
```
ScV2Co
1.0
-3.487 3.487 2.581
3.487 -3.487 2.581
3.487 3.487 -2.581
Sc V Co
2 4 2
Direct
0.000 0.000 0.000
0.750 0.250 0.500
0.184 0.625 0.059
0.375 0.434 0.559
0.566 0.125 0.941
0.875 0.816 0.441
0.250 0.750 0.500
0.500 0.500 0.000
```



# 3
Below is an optimized crystal structure of ScV2Co2, with properties calculated at the PBE level.

Calculated volume   137.2 Å³ per cell
Mass density   6.4 g/cm3
Calculated total energy   -77.9 eV per cell
DFT formation energy   -36 meV per atom
Energy relative to the lowest polymorph listed for this composition   0.1155 eV per atom
Symmetry   P4/mbm (127)

The structure in POSCAR format:
```
ScV2Co2
1.0
7.053 0.000 0.000
0.000 7.053 0.000
0.000 0.000 2.759
Sc V Co
2 4 4
Direct
0.000 0.000 0.000
0.500 0.500 0.000
0.161 0.339 0.500
0.339 0.839 0.500
0.661 0.161 0.500
0.839 0.661 0.500
0.129 0.629 0.000
0.371 0.129 0.000
0.629 0.871 0.000
0.871 0.371 0.000
```



# 4
Below is an optimized crystal structure of ScV2Co2, with properties calculated at the PBE level.

Calculated volume   75.1 Å³ per cell
Mass density   5.9 g/cm3
Calculated total energy   -38.2 eV per cell
DFT formation energy   116 meV per atom
Energy relative to the lowest polymorph listed for this composition   0.2675 eV per atom
Symmetry   I4/mmm (139)

The structure in POSCAR format:
```
ScV2Co2
1.0
-2.013 2.013 4.632
2.013 -2.013 4.632
2.013 2.013 -4.632
Sc V Co
1 2 2
Direct
0.000 0.000 0.000
0.367 0.367 0.000
0.633 0.633 0.000
0.250 0.750 0.500
0.750 0.250 0.500
```